A.
Compound: BaFeBr2
Source: the Alexandria database
Functional: PBE
Structure: optimized geometry

Properties
magnetization: 4.21 μB/cell
space-group type: No. 122
DOS at the Fermi energy: 4.68 states/eV per cell

Cell: 6.087 6.087 8.325 Å, 68.56 68.56 90.00°
Element x y z (fractional)
Ba (0.000, 0.000, 0.000)
Ba (0.750, 0.250, 0.500)
Br (0.517, 0.125, 0.250)
Br (0.233, 0.625, 0.250)
Br (0.375, 0.483, 0.750)
Br (0.875, 0.767, 0.750)
Fe (0.500, 0.500, 0.000)
Fe (0.250, 0.750, 0.500)

***

B.
Compound: BaFeBr2
Source: the Alexandria database
Functional: PBE
Structure: optimized geometry

Properties
magnetization: 2.06 μB/cell
space-group type: No. 6
DOS at the Fermi energy: 4.02 states/eV per cell

Cell: 4.529 4.498 6.394 Å, 69.56 90.00 90.00°
Element x y z (fractional)
Ba (0.500, 0.686, 0.753)
Br (0.000, 0.105, 0.917)
Br (0.500, 0.388, 0.347)
Fe (0.000, 0.321, 0.483)

***

C.
Compound: BaFeBr2
Source: the Alexandria database
Functional: PBE
Structure: optimized geometry

Properties
magnetization: 3.74 μB/cell
space-group type: No. 123
DOS at the Fermi energy: 1.89 states/eV per cell

Cell: 8.535 5.211 4.298 Å, 90.05 59.69 127.65°
Element x y z (fractional)
Ba (0.500, 0.500, 0.000)
Br (0.000, 0.000, 0.000)
Br (0.500, 0.000, 0.500)
Fe (0.000, 0.500, 0.500)

***

D.
Compound: BaFeBr2
Source: the Alexandria database
Functional: PBE
Structure: optimized geometry

Properties
magnetization: 3.80 μB/cell
space-group type: No. 119
DOS at the Fermi energy: 3.17 states/eV per cell

Cell: 6.650 6.650 6.650 Å, 139.35 139.35 58.84°
Element x y z (fractional)
Ba (0.750, 0.250, 0.500)
Br (0.000, 0.000, 0.000)
Br (0.250, 0.750, 0.500)
Fe (0.500, 0.500, 0.000)

***

Which one sits at the top of the stability order? B does.

***

A.
Compound: BaFe3Br
Source: the Alexandria database
Functional: PBE
Structure: optimized geometry

Properties
magnetization: 6.14 μB/cell
space-group type: No. 221
DOS at the Fermi energy: 6.84 states/eV per cell

Cell: 4.708 4.708 4.708 Å, 90.00 90.00 90.00°
Element x y z (fractional)
Ba (0.500, 0.500, 0.500)
Br (0.000, 0.000, 0.000)
Fe (0.000, 0.500, 0.000)
Fe (0.000, 0.000, 0.500)
Fe (0.500, 0.000, 0.000)

***

B.
Compound: BaFe3Br
Source: the Alexandria database
Functional: PBE
Structure: optimized geometry

Properties
magnetization: 10.93 μB/cell
space-group type: No. 221
DOS at the Fermi energy: 11.69 states/eV per cell

Cell: 5.795 5.795 5.795 Å, 90.00 90.00 90.00°
Element x y z (fractional)
Ba (0.000, 0.000, 0.000)
Br (0.500, 0.500, 0.500)
Fe (0.000, 0.500, 0.000)
Fe (0.000, 0.000, 0.500)
Fe (0.500, 0.000, 0.000)

***

Which one sits at the top of the stability order? A does.

***

A.
Compound: BaFeBr4
Source: the Alexandria database
Functional: PBE
Structure: optimized geometry

Properties
magnetization: 6.06 μB/cell
space-group type: No. 216
DOS at the Fermi energy: 12.42 states/eV per cell

Cell: 6.530 6.530 6.530 Å, 60.00 60.00 60.00°
Element x y z (fractional)
Ba (0.000, 0.000, 0.000)
Fe (0.750, 0.750, 0.750)
Br (0.875, 0.375, 0.375)
Br (0.375, 0.375, 0.875)
Br (0.375, 0.875, 0.375)
Br (0.375, 0.375, 0.375)

***

B.
Compound: BaFeBr4
Source: the Alexandria database
Functional: PBE
Structure: optimized geometry

Properties
magnetization: 8.00 μB/cell
space-group type: No. 141
DOS at the Fermi energy: 13.39 states/eV per cell

Cell: 8.514 8.513 8.513 Å, 74.83 74.83 118.46°
Element x y z (fractional)
Ba (0.875, 0.625, 0.250)
Ba (0.125, 0.375, 0.750)
Fe (0.625, 0.875, 0.750)
Fe (0.375, 0.125, 0.250)
Br (0.265, 0.696, 0.932)
Br (0.628, 0.696, 0.568)
Br (0.196, 0.128, 0.068)
Br (0.735, 0.304, 0.068)
Br (0.196, 0.765, 0.432)
Br (0.804, 0.872, 0.932)
Br (0.372, 0.304, 0.432)
Br (0.804, 0.235, 0.568)

***

Which one sits at the top of the stability order? B does.

***

A.
Compound: BaFeBr3
Source: the Alexandria database
Functional: PBE
Structure: optimized geometry

Properties
magnetization: 4.51 μB/cell
space-group type: No. 221
DOS at the Fermi energy: 49.93 states/eV per cell

Cell: 6.276 6.276 6.276 Å, 90.00 90.00 90.00°
Element x y z (fractional)
Ba (0.000, 0.000, 0.000)
Br (0.000, 0.500, 0.000)
Br (0.000, 0.000, 0.500)
Br (0.500, 0.000, 0.000)
Fe (0.500, 0.500, 0.500)

***

B.
Compound: BaFeBr3
Source: the Alexandria database
Functional: PBE
Structure: optimized geometry

Properties
magnetization: 3.00 μB/cell
space-group type: No. 221
DOS at the Fermi energy: 7.44 states/eV per cell

Cell: 5.206 5.206 5.206 Å, 90.00 90.00 90.00°
Element x y z (fractional)
Ba (0.500, 0.500, 0.500)
Br (0.000, 0.500, 0.000)
Br (0.000, 0.000, 0.500)
Br (0.500, 0.000, 0.000)
Fe (0.000, 0.000, 0.000)

***

Which one sits at the top of the stability order? B does.

***

A.
Compound: BaGa2Br6
Source: the Alexandria database
Functional: PBE
Structure: optimized geometry

Properties
magnetization: 0.00 μB/cell
space-group type: No. 146
DOS at the Fermi energy: 0.00 states/eV per cell

Cell: 7.652 7.652 9.264 Å, 65.61 65.61 60.00°
Element x y z (fractional)
Ba (0.334, 0.334, 0.998)
Ga (0.716, 0.716, 0.851)
Ga (0.617, 0.617, 0.150)
Br (0.713, 0.485, 0.736)
Br (0.066, 0.713, 0.736)
Br (0.485, 0.066, 0.736)
Br (0.315, 0.527, 0.265)
Br (0.893, 0.315, 0.265)
Br (0.527, 0.893, 0.265)

***

B.
Compound: BaGa2Br6
Source: the Alexandria database
Functional: PBE
Structure: optimized geometry

Properties
magnetization: 0.00 μB/cell
space-group type: No. 15

Cell: 6.993 10.305 10.305 Å, 85.33 84.75 84.75°
Element x y z (fractional)
Ba (0.250, 0.095, 0.905)
Ba (0.750, 0.905, 0.095)
Ga (0.245, 0.511, 0.652)
Ga (0.255, 0.348, 0.489)
Ga (0.755, 0.489, 0.348)
Ga (0.745, 0.652, 0.511)
Br (0.404, 0.717, 0.597)
Br (0.096, 0.403, 0.283)
Br (0.596, 0.283, 0.403)
Br (0.904, 0.597, 0.717)
Br (0.866, 0.848, 0.423)
Br (0.634, 0.577, 0.152)
Br (0.134, 0.152, 0.577)
Br (0.366, 0.423, 0.848)
Br (0.153, 0.800, 0.959)
Br (0.347, 0.041, 0.200)
Br (0.847, 0.200, 0.041)
Br (0.653, 0.959, 0.800)

***

Which one sits at the top of the stability order? A does.

***

A.
Compound: BaGa2Br2
Source: the Alexandria database
Functional: PBE
Structure: optimized geometry

Properties
magnetization: 0.00 μB/cell
space-group type: No. 127
DOS at the Fermi energy: 2.13 states/eV per cell

Cell: 8.257 8.257 4.914 Å, 90.00 90.00 90.00°
Element x y z (fractional)
Ga (0.390, 0.890, 0.000)
Ga (0.890, 0.610, 0.000)
Ga (0.610, 0.110, 0.000)
Ga (0.110, 0.390, 0.000)
Ba (0.000, 0.000, 0.000)
Ba (0.500, 0.500, 0.000)
Br (0.251, 0.751, 0.500)
Br (0.751, 0.749, 0.500)
Br (0.749, 0.249, 0.500)
Br (0.249, 0.251, 0.500)

***

B.
Compound: BaGa2Br2
Source: the Alexandria database
Functional: PBE
Structure: optimized geometry

Properties
magnetization: 0.00 μB/cell
space-group type: No. 139
DOS at the Fermi energy: 3.16 states/eV per cell

Cell: 5.952 5.952 6.236 Å, 61.50 61.50 90.00°
Element x y z (fractional)
Ga (0.353, 0.353, 0.294)
Ga (0.647, 0.647, 0.706)
Ba (0.000, 0.000, 0.000)
Br (0.750, 0.250, 0.500)
Br (0.250, 0.750, 0.500)

***

Which one sits at the top of the stability order? B does.

***

A.
Compound: BaGaSe2Br
Source: the Alexandria database
Functional: PBE
Structure: optimized geometry

Properties
magnetization: 2.02 μB/cell
space-group type: No. 123
DOS at the Fermi energy: 7.93 states/eV per cell

Cell: 6.266 6.266 6.256 Å, 90.00 90.00 90.00°
Element x y z (fractional)
Ga (0.500, 0.500, 0.500)
Se (0.000, 0.500, 0.000)
Se (0.500, 0.000, 0.000)
Ba (0.000, 0.000, 0.000)
Br (0.000, 0.000, 0.500)

***

B.
Compound: BaGaSe2Br
Source: the Alexandria database
Functional: PBE
Structure: optimized geometry

Properties
magnetization: 0.00 μB/cell
space-group type: No. 123
DOS at the Fermi energy: 1.31 states/eV per cell

Cell: 5.101 5.101 5.483 Å, 90.00 90.00 90.00°
Element x y z (fractional)
Ga (0.000, 0.000, 0.000)
Se (0.000, 0.500, 0.000)
Se (0.500, 0.000, 0.000)
Ba (0.500, 0.500, 0.500)
Br (0.000, 0.000, 0.500)

***

Which one sits at the top of the stability order? B does.

***

A.
Compound: BaGaSeBr2
Source: the Alexandria database
Functional: PBE
Structure: optimized geometry

Properties
magnetization: 1.01 μB/cell
space-group type: No. 123
DOS at the Fermi energy: 7.23 states/eV per cell

Cell: 6.261 6.261 6.347 Å, 90.00 90.00 90.00°
Element x y z (fractional)
Ga (0.500, 0.500, 0.500)
Se (0.000, 0.000, 0.500)
Ba (0.000, 0.000, 0.000)
Br (0.000, 0.500, 0.000)
Br (0.500, 0.000, 0.000)

***

B.
Compound: BaGaSeBr2
Source: the Alexandria database
Functional: PBE
Structure: optimized geometry

Properties
magnetization: 0.00 μB/cell
space-group type: No. 123
DOS at the Fermi energy: 0.84 states/eV per cell

Cell: 5.444 5.444 5.180 Å, 90.00 90.00 90.00°
Element x y z (fractional)
Ga (0.000, 0.000, 0.000)
Se (0.000, 0.000, 0.500)
Ba (0.500, 0.500, 0.500)
Br (0.000, 0.500, 0.000)
Br (0.500, 0.000, 0.000)

***

Which one sits at the top of the stability order? B does.

***

A.
Compound: Ba2GeBr
Source: the Alexandria database
Functional: PBE
Structure: optimized geometry

Properties
magnetization: 0.00 μB/cell
space-group type: No. 123
DOS at the Fermi energy: 1.93 states/eV per cell

Cell: 3.979 3.979 8.774 Å, 90.00 90.00 90.00°
Element x y z (fractional)
Ge (0.500, 0.500, 0.000)
Ba (0.000, 0.000, 0.773)
Ba (0.000, 0.000, 0.227)
Br (0.500, 0.500, 0.500)

***

B.
Compound: Ba2GeBr
Source: the Alexandria database
Functional: PBE
Structure: optimized geometry

Properties
magnetization: 0.00 μB/cell
space-group type: No. 160
DOS at the Fermi energy: 3.13 states/eV per cell

Cell: 4.618 4.618 9.155 Å, 75.39 75.39 60.00°
Element x y z (fractional)
Ba (0.076, 0.076, 0.771)
Ba (0.258, 0.258, 0.225)
Ge (0.667, 0.667, 0.998)
Br (0.498, 0.498, 0.505)

***

C.
Compound: Ba2GeBr
Source: the Alexandria database
Functional: PBE
Structure: optimized geometry

Properties
magnetization: 2.70 μB/cell
space-group type: No. 53
DOS at the Fermi energy: 19.43 states/eV per cell

Cell: 6.766 6.764 13.942 Å, 89.99 90.00 90.00°
Element x y z (fractional)
Ba (0.748, 0.000, 0.866)
Ba (0.252, 0.000, 0.134)
Ba (0.748, 0.500, 0.634)
Ba (0.252, 0.500, 0.366)
Ba (0.752, 0.500, 0.116)
Ba (0.248, 0.500, 0.884)
Ba (0.752, 0.000, 0.384)
Ba (0.248, 0.000, 0.616)
Ge (0.253, 0.000, 0.375)
Ge (0.747, 0.000, 0.625)
Ge (0.253, 0.500, 0.125)
Ge (0.747, 0.500, 0.875)
Br (0.248, 0.500, 0.625)
Br (0.752, 0.500, 0.375)
Br (0.248, 0.000, 0.875)
Br (0.752, 0.000, 0.125)

***

D.
Compound: Ba2GeBr
Source: the Alexandria database
Functional: PBE
Structure: optimized geometry

Properties
magnetization: 2.00 μB/cell
space-group type: No. 122
DOS at the Fermi energy: 4.87 states/eV per cell

Cell: 7.290 7.290 9.459 Å, 67.33 67.33 90.00°
Element x y z (fractional)
Ge (0.500, 0.500, 0.000)
Ge (0.250, 0.750, 0.500)
Ba (0.608, 0.125, 0.250)
Ba (0.142, 0.625, 0.250)
Ba (0.375, 0.392, 0.750)
Ba (0.875, 0.858, 0.750)
Br (0.000, 0.000, 0.000)
Br (0.750, 0.250, 0.500)

***

Which one sits at the top of the stability order? C does.

***

A.
Compound: Ba2GeBr
Source: the Alexandria database
Functional: PBE
Structure: optimized geometry

Properties
magnetization: 0.67 μB/cell
space-group type: No. 166
DOS at the Fermi energy: 3.24 states/eV per cell

Cell: 4.725 4.725 8.847 Å, 74.51 74.51 60.00°
Element x y z (fractional)
Ge (0.000, 0.000, 0.000)
Ba (0.257, 0.257, 0.230)
Ba (0.743, 0.743, 0.770)
Br (0.500, 0.500, 0.500)

***

B.
Compound: Ba2GeBr
Source: the Alexandria database
Functional: PBE
Structure: optimized geometry

Properties
magnetization: 1.00 μB/cell
space-group type: No. 225
DOS at the Fermi energy: 5.22 states/eV per cell

Cell: 5.841 5.841 5.841 Å, 60.00 60.00 60.00°
Element x y z (fractional)
Ge (0.000, 0.000, 0.000)
Ba (0.250, 0.250, 0.250)
Ba (0.750, 0.750, 0.750)
Br (0.500, 0.500, 0.500)

***

Which one sits at the top of the stability order? A does.

***

A.
Compound: Ba2GeBr2
Source: the Alexandria database
Functional: PBE
Structure: optimized geometry

Properties
magnetization: 0.00 μB/cell
space-group type: No. 139
DOS at the Fermi energy: 0.01 states/eV per cell

Cell: 6.388 6.388 6.448 Å, 60.30 60.30 90.00°
Element x y z (fractional)
Ge (0.000, 0.000, 0.000)
Ba (0.750, 0.250, 0.500)
Ba (0.250, 0.750, 0.500)
Br (0.317, 0.317, 0.366)
Br (0.683, 0.683, 0.634)

***

B.
Compound: Ba2GeBr2
Source: the Alexandria database
Functional: PBE
Structure: optimized geometry

Properties
magnetization: 0.00 μB/cell
space-group type: No. 127
DOS at the Fermi energy: 5.73 states/eV per cell

Cell: 9.382 9.382 3.929 Å, 90.00 90.00 90.00°
Element x y z (fractional)
Ge (0.000, 0.000, 0.000)
Ge (0.500, 0.500, 0.000)
Ba (0.181, 0.681, 0.500)
Ba (0.681, 0.819, 0.500)
Ba (0.819, 0.319, 0.500)
Ba (0.319, 0.181, 0.500)
Br (0.378, 0.878, 0.000)
Br (0.878, 0.622, 0.000)
Br (0.622, 0.122, 0.000)
Br (0.122, 0.378, 0.000)

***

Which one sits at the top of the stability order? A does.